## BaScHg3 (PBE-GGA)

Data for crystalline BaScHg3 at its relaxed geometry.

The space group is Pm-3m (No. 221) and the conventional cell measures 6.117, 6.117 and 6.117 Å, with angles of 90.00, 90.00 and 90.00 degrees. The asymmetric unit holds Ba at (0.000, 0.000, 0.000), Sc at (0.500, 0.500, 0.500) and Hg at (0.000, 0.000, 0.500).

For the total magnetic moment, the calculation gives 1.6 μB per formula unit. As for the energy above the most stable polymorph in this dataset: 830 meV/atom.

## BaSc3Hg (PBE-GGA)

Data for crystalline BaSc3Hg at its relaxed geometry.

The space group is Pm-3m (No. 221) and the conventional cell measures 5.322, 5.322 and 5.322 Å, with angles of 90.00, 90.00 and 90.00 degrees. The asymmetric unit holds Ba at (0.000, 0.000, 0.000), Sc at (0.000, 0.000, 0.500) and Hg at (0.500, 0.500, 0.500).

For the total magnetic moment, the calculation gives 0.0 μB per formula unit. As for the energy above the most stable polymorph in this dataset: 960 meV/atom.

## Ba2ScHg (PBE-GGA)

Data for crystalline Ba2ScHg at its relaxed geometry.

The space group is Imm2 (No. 44) and the conventional cell measures 3.985, 6.083 and 12.649 Å, with angles of 90.00, 90.00 and 90.00 degrees. The asymmetric unit holds Ba at (0.000, 0.000, 0.000), Ba at (0.000, 0.500, 0.201), Sc at (0.000, 0.000, 0.409) and Hg at (0.000, 0.500, 0.743).

For the total magnetic moment, the calculation gives 0.0 μB per formula unit. Its total DFT energy (no corrections) is -2.69 eV/atom.